1.
# BaTm4Tl5

An optimized crystal structure of BaTm4Tl5 (PBE, Alexandria).

The structure in POSCAR format:
```
BaTm4Tl5
1.0
3.8243 0.0000 0.0000
0.0000 3.8396 0.0000
0.0000 0.0000 19.5082
Ba Tm Tl
1 4 5
Direct
0.0000 0.0000 0.0000
0.0000 0.0000 0.2190
0.0000 0.0000 0.4067
0.0000 0.0000 0.5933
0.0000 0.0000 0.7810
0.5000 0.5000 0.1274
0.5000 0.5000 0.3139
0.5000 0.5000 0.5000
0.5000 0.5000 0.6861
0.5000 0.5000 0.8726
```

DOS(E_F): 6.078 states/eV/f.u.
E_form: -0.3083 eV/atom
electronic total energy: -3.47 eV/atom
total moment: 0.00 μB/f.u.
SG: No. 47

---

2.
# BaTmTl6

An optimized crystal structure of BaTmTl6 (PBE, Alexandria).

The structure in POSCAR format:
```
BaTmTl6
1.0
4.9554 0.0000 0.0000
0.0000 4.9554 0.0000
0.0000 0.0000 9.8208
Ba Tm Tl
1 1 6
Direct
0.0000 0.0000 0.0000
0.0000 0.0000 0.5000
0.0000 0.5000 0.2678
0.0000 0.5000 0.7322
0.5000 0.0000 0.2678
0.5000 0.0000 0.7322
0.5000 0.5000 0.0000
0.5000 0.5000 0.5000
```

DOS(E_F): 3.851 states/eV/f.u.
E_form: -0.2090 eV/atom
electronic total energy: -2.78 eV/atom
total moment: 0.00 μB/f.u.
SG: No. 123

---

3.
# BaTmTl

An optimized crystal structure of BaTmTl (PBE, Alexandria).

The structure in POSCAR format:
```
BaTmTl
1.0
5.5057 0.0000 0.0000
-2.7528 4.7681 0.0000
0.0000 0.0000 4.1552
Ba Tm Tl
1 1 1
Direct
0.0000 0.0000 0.0000
0.3333 0.6667 0.5000
0.6667 0.3333 0.5000
```

DOS(E_F): 4.156 states/eV/f.u.
E_form: -0.0705 eV/atom
electronic total energy: -2.99 eV/atom
total moment: 0.00 μB/f.u.
SG: No. 187
energy above the most stable polymorph in this dataset: 211.1 meV per atom

---

4.
# BaTmTl4

An optimized crystal structure of BaTmTl4 (PBE, Alexandria).

The structure in POSCAR format:
```
BaTmTl4
1.0
5.1090 0.0000 0.0000
0.0000 5.1090 0.0000
0.0000 0.0000 8.5704
Ba Tm Tl
1 1 4
Direct
0.0000 0.0000 0.0000
0.5000 0.5000 0.5000
0.0000 0.5000 0.2975
0.0000 0.5000 0.7025
0.5000 0.0000 0.2975
0.5000 0.0000 0.7025
```

DOS(E_F): 5.798 states/eV/f.u.
E_form: -0.0481 eV/atom
electronic total energy: -2.69 eV/atom
total moment: 0.00 μB/f.u.
SG: No. 123